1.
A plane-wave DFT calculation with PBE was carried out for an optimized crystal structure of Li3Er2S4.

The value obtained for the volume is 21.34 Å³/atom. The energy relative to the elements, uncorrected is -1630.1 meV per atom.

The structure belongs to space group C2/m (No. 12); the cell edges are 6.637, 3.832 and 15.102 Å and the angles 90.00°, 90.04° and 90.00°. Symmetry generates all atoms from Li at (0.000, 0.000, 0.000), Li at (0.166, 0.500, 0.612), Er at (0.167, 0.500, 0.203), S at (0.001, 0.000, 0.312) and S at (0.167, 0.500, 0.898).

=====

2.
A plane-wave DFT calculation with PBE was carried out for an optimized crystal structure of FeSiAs2.

The value obtained for the volume is 16.45 Å³/atom. The energy relative to the elements, uncorrected is 488.6 meV per atom.

The structure belongs to space group Pmmm (No. 47); the cell edges are 3.497, 3.761 and 5.003 Å and the angles 90.00°, 90.00° and 90.00°. Symmetry generates all atoms from Fe at (0.000, 0.000, 0.000), Si at (0.500, 0.000, 0.500), As at (0.000, 0.500, 0.500) and As at (0.500, 0.500, 0.000).